DFT (PBE) results for an optimized crystal structure of ScZn2P.

Lattice parameters (Å, degrees): 3.5244 3.5244 5.6172 90.00 90.00 90.00
Closest atoms and distances in Å follow each position.
Sites, in units of the cell vectors:
Sc 0.0000 0.0000 0.0000  4 P 2.66, 2 Zn 2.80-2.82
Zn 0.0000 0.0000 0.4988  4 Zn 2.65, 2 Sc 2.80-2.82
Zn 0.5000 0.5000 0.3376  4 Zn 2.65, 2 P 2.79-2.83
P 0.5000 0.5000 0.8342  4 Sc 2.66, 2 Zn 2.79-2.83

The density of states at the Fermi level is 0.517 states/eV/atom. The total energy is -3.952 eV/atom. The space-group type is P4mm (99). The crystal system is tetragonal. The energy relative to the elements is -379 meV per atom. The value obtained for the spin magnetization is 0.00 μB/cell.



DFT (PBE) results for an optimized crystal structure of Mg2Ga2CuPd5.

Lattice parameters (Å, degrees): 9.4278 9.4278 3.6433 90.00 90.00 90.00
Closest atoms and distances in Å follow each position.
Sites, in units of the cell vectors:
Mg 0.1708 0.3292 0.0000  3 Ga 2.66-2.86, 2 Pd 2.92
Mg 0.3292 0.8292 0.0000  3 Ga 2.66-2.86, 2 Pd 2.92
Mg 0.6708 0.1708 0.0000  3 Ga 2.66-2.86, 2 Pd 2.92
Mg 0.8292 0.6708 0.0000  3 Ga 2.66-2.86, 2 Pd 2.92
Ga 0.1300 0.6300 0.0000  6 Pd 2.51, 1 Mg 2.66
Ga 0.3700 0.1300 0.0000  6 Pd 2.51, 1 Mg 2.66
Ga 0.6300 0.8700 0.0000  6 Pd 2.51, 1 Mg 2.66
Ga 0.8700 0.3700 0.0000  6 Pd 2.51, 1 Mg 2.66
Cu 0.0000 0.0000 0.0000  8 Pd 2.69
Cu 0.5000 0.5000 0.0000  8 Pd 2.69
Pd 0.0000 0.5000 0.5000  4 Ga 2.51
Pd 0.0756 0.8041 0.5000  2 Ga 2.51, 2 Cu 2.69, 2 Pd 2.80
Pd 0.1959 0.0756 0.5000  2 Ga 2.51, 2 Cu 2.69, 2 Pd 2.80
Pd 0.3041 0.5756 0.5000  2 Ga 2.51, 2 Cu 2.69, 2 Pd 2.80
Pd 0.4244 0.3041 0.5000  2 Ga 2.51, 2 Cu 2.69, 2 Pd 2.80
Pd 0.5000 0.0000 0.5000  4 Ga 2.51
Pd 0.5756 0.6959 0.5000  2 Ga 2.51, 2 Cu 2.69, 2 Pd 2.80
Pd 0.6959 0.4244 0.5000  2 Ga 2.51, 2 Cu 2.69, 2 Pd 2.80
Pd 0.8041 0.9244 0.5000  2 Ga 2.51, 2 Cu 2.69, 2 Pd 2.80
Pd 0.9244 0.1959 0.5000  2 Ga 2.51, 2 Cu 2.69, 2 Pd 2.80

The density of states at the Fermi level is 0.307 states/eV/atom. The total energy is -4.436 eV/atom. The space-group type is P4/mbm (127). The crystal system is tetragonal. The energy relative to the elements is -506 meV per atom. The value obtained for the spin magnetization is 0.00 μB/cell.